Entry 1:
PrHoTeS | PBE | relaxed

Structure (POSCAR):
```
PrHoTeS
1.0
-2.7074 2.9685 -0.3174
-0.6720 -3.0840 2.5107
5.5472 2.8605 4.9979
Pr Ho Te S
1 1 1 1
Cartesian
-0.7866 2.8120 2.5831
3.5550 1.6115 5.5084
-0.4273 -2.3050 2.8719
2.1361 2.8274 3.3834
```

***

Entry 2:
Fe2CoIr | PBE | relaxed

Computed properties:
Its energy relative to the elements is 114 meV per atom.

Structure (POSCAR):
```
Fe2CoIr
1.0
-2.1705 1.2736 0.6423
0.4902 -2.1013 1.4457
4.3437 4.7002 5.3587
Co Fe Ir
1 2 1
Cartesian
2.4768 3.1754 5.1361
4.3342 4.6899 5.3469
0.1994 0.7111 2.3265
2.1685 2.3465 2.6752
```

***

Entry 3:
Y4ZnIr3 | PBE | relaxed

Computed properties:
Its energy relative to the elements is -685 meV per atom.

Structure (POSCAR):
```
Y4ZnIr3
1.0
4.9413 0.0000 0.0000
0.0000 6.8486 0.0000
0.0000 0.0000 9.8781
Y Zn Ir
8 2 6
Cartesian
2.4707 5.1836 0.0000
2.4707 5.1836 4.9391
2.4707 1.6650 0.0000
2.4707 1.6650 4.9391
4.9410 5.1840 7.4086
0.0003 5.1840 2.4695
0.0003 1.6646 2.4695
4.9410 1.6646 7.4086
0.0000 3.4243 0.0000
0.0000 3.4243 4.9391
0.0000 0.0000 0.0000
0.0000 0.0000 4.9391
2.4710 0.0000 7.4086
2.4703 0.0000 2.4695
2.4709 3.4243 7.4086
2.4705 3.4243 2.4695
```

***

Entry 4:
Mn3AlH | PBE | relaxed

Structure (POSCAR):
```
Mn3AlH
1.0
5.5484 2.9366 2.3852
6.6927 -0.3128 -0.4558
5.2807 3.6245 -2.0187
H Mn Al
2 6 2
Cartesian
2.8705 1.0236 -0.0146
14.6513 5.2246 -0.0747
7.4064 4.0633 -0.5256
8.2206 1.7739 -0.9574
9.5732 3.6784 -1.4521
9.3012 4.4743 0.8681
10.1154 2.1849 0.4363
7.9486 2.5698 1.3629
5.8166 2.0742 -0.0296
11.7052 4.1740 -0.0597
```

***

Entry 5:
InFe2Se | PBE | relaxed

Computed properties:
The relative energy among the computed polymorphs comes out at 181 meV per atom.

Structure (POSCAR):
```
InFe2Se
1.0
-0.1827 -4.1437 1.0996
2.2239 -2.7737 2.4028
-2.7174 -0.8683 5.9312
Fe In Se
2 1 1
Cartesian
-0.2312 -0.1812 0.6174
-0.1069 -3.7117 4.0995
-0.5071 -5.8393 7.0753
-0.1690 -1.9464 2.3584
```

***

Entry 6:
MnCrTe2 | PBE | relaxed

Structure (POSCAR):
```
MnCrTe2
1.0
-3.2061 -2.0883 -1.6588
3.8048 -0.3501 -1.6709
1.1548 -4.6327 3.6004
Mn Cr Te
1 1 2
Cartesian
0.0000 0.0000 0.0000
0.5774 -2.3164 1.8002
1.7637 -2.1163 -0.7446
-0.0101 -4.9549 1.0152
```

***

Entry 7:
Al2Cu3Au6 | PBE | relaxed

Computed properties:
Its energy relative to the elements is 11 meV per atom.

Structure (POSCAR):
```
Al2Cu3Au6
1.0
-3.6288 1.6577 -0.1385
-0.5565 -0.8964 3.8499
6.9157 10.4461 1.3624
Al Cu Au
2 3 6
Cartesian
3.4298 7.6991 2.2885
-0.6994 3.5082 2.7853
0.0000 0.0000 0.0000
1.2988 7.9936 4.1185
1.4316 3.2137 0.9552
0.4050 1.0854 2.3808
-1.1312 2.3625 0.3866
2.3255 10.1220 2.6930
3.8616 8.8449 4.6872
0.2759 5.6975 3.4361
2.4545 5.5098 1.6377
```

***

Entry 8:
LuHg2Ge | PBE | relaxed

Computed properties:
The relative energy among the computed polymorphs comes out at 558 meV per atom. Its energy relative to the elements is 242 meV per atom.

Structure (POSCAR):
```
LuHg2Ge
1.0
-1.8429 2.6030 -0.8987
-2.9407 0.5225 1.4350
3.1767 7.0412 7.7717
Ge Lu Hg
1 1 2
Cartesian
-0.8034 5.0833 4.1540
0.0000 0.0000 0.0000
1.8573 5.3822 5.6720
-3.4642 4.7845 2.6361
```

***

| no. | N(E_F) (states/eV per atom) | total magnetic moment (μB/cell) | energy (eV per atom) |
| --- | --- | --- | --- |
| 1 | 0.5104 | 0.00 | -5.713 |
| 2 | 0.9816 | 7.99 | -8.109 |
| 3 | 0.8865 | 0.00 | -7.399 |
| 4 | 0.7235 | 0.00 | -6.800 |
| 5 | 0.8599 | 4.81 | -5.534 |
| 6 | 0.5614 | 7.52 | -6.337 |
| 7 | 0.4716 | 0.00 | -3.574 |
| 8 | 0.6123 | 0.00 | -2.194 |